# 1
VASP calculation (GGA-PBE) on an optimized crystal structure of PrYGaCo.

Cell: 7.1382 7.1382 7.1382 Å, 90.00 90.00 90.00°
Space group F-43m (No. 216)
Symmetry-distinct sites (fractional):
Pr: 0.0000 0.0000 0.0000 (multiplicity 4)
Y: 0.0000 0.0000 0.5000 (multiplicity 4)
Ga: 0.2500 0.2500 0.7500 (multiplicity 4)
Co: 0.2500 0.2500 0.2500 (multiplicity 4)

Computed properties:
- Uncorrected energy: -5.58 eV per atom
- Formation energy: -0.240 eV per atom

=====

# 2
VASP calculation (GGA-PBE) on an optimized crystal structure of GaCoPt3.

Cell: 4.5828 4.5828 4.5828 Å, 90.00 90.00 90.00°
Space group Pm-3m (No. 221)
Symmetry-distinct sites (fractional):
Ga: 0.0000 0.0000 0.0000 (multiplicity 1)
Co: 0.5000 0.5000 0.5000 (multiplicity 1)
Pt: 0.0000 0.5000 0.5000 (multiplicity 3)

Computed properties:
- Relative energy among the computed polymorphs: 0.00 eV/f.u.
- Uncorrected energy: -4.87 eV per atom
- Formation energy: 0.778 eV per atom